First-principles (PBE) data for a geometry-optimized NdZnGa3Ni structure, as listed in Alexandria via LeMat-Bulk.

abc: 5.9075 12.4852 6.0635
angles: 90.00 90.00 90.00
Last column: nearest neighbours and their distance in Å.
Space group Cmcm (No. 63)
Symmetry-distinct sites (fractional):
1 Nd 0.0000 0.2173 0.2500 (multiplicity 4)  1 Ni 2.71
2 Zn 0.0000 0.1513 0.7500 (multiplicity 4)  5 Ga 2.63-2.73
3 Ga 0.0000 0.3617 0.7500 (multiplicity 4)  1 Ni 2.55, 1 Zn 2.63, 4 Ga 2.85
4 Ga 0.2150 0.0000 0.0000 (multiplicity 8)  2 Ni 2.41, 1 Ga 2.54
5 Ni 0.0000 0.4344 0.2500 (multiplicity 4)  5 Ga 2.41-2.55

Output
- Calculated formation energy: -0.250 eV per atom
- V: 447 Å³ per cell